Model w:
## Y2ErOs (PBE-GGA)

Data for a relaxed Y2ErOs crystal.

```
Y2ErOs
1.0
1.716 0.991 10.834
-1.716 0.991 10.834
0.000 -1.982 10.834
Y Er Os
2 1 1
Cartesian
0.000 0.000 3.395
0.000 0.000 29.107
0.000 0.000 0.000
0.000 0.000 16.251
```

Summary:
Crystal system ... trigonal
Magnetization ... 0.5 Bohr magnetons per cell

---

Model x:
## Y2ErOs (PBE-GGA)

Data for a relaxed Y2ErOs crystal.

```
Y2ErOs
1.0
1.986 -5.925 0.000
1.986 5.925 0.000
0.000 0.000 9.036
Y Er Os
4 2 2
Cartesian
1.986 4.226 5.111
1.986 4.226 8.443
1.986 -4.226 0.593
1.986 -4.226 3.925
1.986 0.908 6.777
1.986 -0.908 2.259
1.986 3.075 2.259
1.986 -3.075 6.777
```

Summary:
Crystal system ... orthorhombic
Magnetization ... 0.0 Bohr magnetons per cell

---

What are the relative energies? In meV per atom: model w 540; model x 0.

---

Model w:
## Y2ErOs (PBE-GGA)

Data for a relaxed Y2ErOs crystal.

```
Y2ErOs
1.0
3.404 0.000 0.000
0.000 3.404 0.000
0.000 0.000 9.217
Y Er Os
2 1 1
Cartesian
0.000 0.000 1.672
0.000 0.000 7.545
1.702 1.702 4.609
1.702 1.702 0.000
```

Summary:
Crystal system ... tetragonal
Magnetization ... 0.0 Bohr magnetons per cell

---

Model x:
## Y2ErOs (PBE-GGA)

Data for a relaxed Y2ErOs crystal.

```
Y2ErOs
1.0
7.379 0.000 0.000
0.000 9.084 0.000
0.000 0.000 6.346
Y Er Os
8 4 4
Cartesian
1.288 0.571 1.079
1.288 3.971 1.079
2.401 5.113 4.252
2.401 8.513 4.252
4.977 0.571 2.095
4.977 3.971 2.095
6.091 5.113 5.268
6.091 8.513 5.268
0.304 2.271 4.007
3.385 6.813 0.834
3.994 2.271 5.512
7.074 6.813 2.339
0.865 6.813 6.140
2.825 2.271 2.967
4.554 6.813 3.380
6.514 2.271 0.206
```

Summary:
Crystal system ... orthorhombic
Magnetization ... 0.0 Bohr magnetons per cell

---

What are the relative energies? In meV per atom: model w 186; model x 0.

---

Model w:
## YEr3Os (PBE-GGA)

Data for a relaxed YEr3Os crystal.

```
YEr3Os
1.0
7.649 0.000 0.000
0.000 6.389 0.000
0.000 0.000 6.184
Y Er Os
2 6 2
Cartesian
0.000 0.996 0.000
3.824 5.393 3.092
0.000 5.378 3.054
1.908 2.046 3.077
1.917 4.343 6.169
3.824 1.011 6.145
5.732 4.343 6.169
5.741 2.046 3.077
0.000 3.211 4.618
3.824 3.178 1.526
```

Summary:
Crystal system ... orthorhombic
Magnetization ... 0.0 Bohr magnetons per cell

---

Model x:
## YEr3Os (PBE-GGA)

Data for a relaxed YEr3Os crystal.

```
YEr3Os
1.0
8.599 -1.784 0.000
8.599 1.784 0.000
-2.610 0.000 9.132
Y Er Os
2 6 2
Cartesian
2.509 0.000 2.825
12.080 0.000 6.306
0.917 0.000 7.952
5.715 0.000 4.185
6.425 0.000 7.529
8.164 0.000 1.603
8.874 0.000 4.947
13.672 0.000 1.180
3.799 0.000 8.545
10.790 0.000 0.586
```

Summary:
Crystal system ... monoclinic
Magnetization ... 0.8 Bohr magnetons per cell

---

What are the relative energies? In meV per atom: model w 0; model x 92.